P:
Here is an optimized crystal structure of Y4Er3Sc from Alexandria. Energies are from PBE-GGA.

Cell: 3.5862 5.3151 13.6119 Å, 101.26 97.45 90.00°
Closest atoms and distances in Å follow each position.
Fractional positions:
Y 0.4058 0.4043 0.8087  2 Sc 3.10, 1 Y 3.23
Y 0.5942 0.5957 0.1913  2 Sc 3.10, 1 Y 3.23
Y 0.7164 0.7176 0.4352  3 Y 3.23-3.59, 1 Er 3.60
Y 0.2836 0.2824 0.5648  3 Y 3.23-3.59, 1 Er 3.60
Sc 0.0000 0.5000 0.0000  4 Y 3.10, 4 Er 3.21
Er 0.5000 0.0000 0.0000  4 Sc 3.21, 2 Er 3.59
Er 0.1443 0.1463 0.2927  9 Y 3.47-3.72, 2 Er 3.59
Er 0.8557 0.8537 0.7073  9 Y 3.47-3.72, 2 Er 3.59

Results
spin magnetization	0.00	μB per formula unit


Q:
Here is an optimized crystal structure of Y4Er3Sc from Alexandria. Energies are from PBE-GGA.

Cell: 6.2011 7.1835 11.1085 Å, 90.00 90.00 90.00°
Closest atoms and distances in Å follow each position.
Fractional positions:
Y 0.1489 0.8706 0.0000  6 Y 3.46-3.64, 4 Er 3.47-3.58, 2 Sc 3.54-3.65
Y 0.6432 0.1282 0.0000  6 Y 3.46-3.64, 4 Er 3.47-3.64, 2 Sc 3.56-3.61
Y 0.9853 0.1290 0.2465  1 Sc 3.42, 6 Y 3.46-3.61, 5 Er 3.49-3.65
Y 0.4853 0.8710 0.2535  1 Sc 3.42, 6 Y 3.46-3.61, 5 Er 3.49-3.65
Y 0.1432 0.8718 0.5000  6 Y 3.46-3.64, 4 Er 3.47-3.64, 2 Sc 3.56-3.61
Y 0.6489 0.1294 0.5000  6 Y 3.46-3.64, 4 Er 3.47-3.58, 2 Sc 3.54-3.65
Y 0.4853 0.8710 0.7465  1 Sc 3.42, 6 Y 3.46-3.61, 5 Er 3.49-3.65
Y 0.9853 0.1290 0.7535  1 Sc 3.42, 6 Y 3.46-3.61, 5 Er 3.49-3.65
Er 0.6486 0.6215 0.0000  4 Er 3.44-3.45, 6 Y 3.49-3.64, 2 Sc 3.56
Er 0.9778 0.6208 0.2496  2 Sc 3.44-3.45, 4 Er 3.44-3.55, 6 Y 3.47-3.65
Er 0.4778 0.3792 0.2504  2 Sc 3.44-3.45, 4 Er 3.44-3.55, 6 Y 3.47-3.65
Er 0.1486 0.3785 0.5000  4 Er 3.44-3.45, 6 Y 3.49-3.64, 2 Sc 3.56
Er 0.4778 0.3792 0.7496  2 Sc 3.44-3.45, 4 Er 3.44-3.55, 6 Y 3.47-3.65
Er 0.9778 0.6208 0.7504  2 Sc 3.44-3.45, 4 Er 3.44-3.55, 6 Y 3.47-3.65
Sc 0.1482 0.3782 0.0000  6 Y 3.42-3.65, 6 Er 3.44-3.56
Sc 0.6482 0.6218 0.5000  6 Y 3.42-3.65, 6 Er 3.44-3.56

Results
spin magnetization	0.00	μB per formula unit


Which structure loses on stability? P does.


P:
Here is an optimized crystal structure of Y2Er7Sc2 from Alexandria. Energies are from PBE-GGA.

Cell: 8.3294 6.4180 6.4180 Å, 91.90 81.81 81.81°
Closest atoms and distances in Å follow each position.
Fractional positions:
Y 0.5000 0.3191 0.6809  1 Y 3.34, 2 Sc 3.35, 8 Er 3.38-3.54
Y 0.5000 0.6809 0.3191  1 Y 3.34, 2 Sc 3.35, 8 Er 3.38-3.54
Er 0.1965 0.0901 0.4602  3 Sc 3.31-3.35, 2 Y 3.38-3.54, 5 Er 3.41-3.64
Er 0.8035 0.5398 0.9099  3 Sc 3.31-3.35, 2 Y 3.38-3.54, 5 Er 3.41-3.64
Er 0.8035 0.9099 0.5398  3 Sc 3.31-3.35, 2 Y 3.38-3.54, 5 Er 3.41-3.64
Er 0.1965 0.4602 0.0901  3 Sc 3.31-3.35, 2 Y 3.38-3.54, 5 Er 3.41-3.64
Er 0.0000 0.0000 0.0000  10 Er 3.43-3.72, 2 Sc 3.49
Er 0.4116 0.8398 0.8398  1 Sc 3.34, 4 Y 3.41-3.42, 6 Er 3.43-3.64
Er 0.5884 0.1602 0.1602  1 Sc 3.34, 4 Y 3.41-3.42, 6 Er 3.43-3.64
Sc 0.8535 0.3950 0.3950  8 Er 3.31-3.49, 2 Y 3.35, 1 Sc 3.37
Sc 0.1465 0.6050 0.6050  8 Er 3.31-3.49, 2 Y 3.35, 1 Sc 3.37

Results
spin magnetization	0.00	μB per formula unit


Q:
Here is an optimized crystal structure of Y2Er7Sc2 from Alexandria. Energies are from PBE-GGA.

Cell: 5.9959 7.8276 7.8276 Å, 90.76 73.31 73.31°
Closest atoms and distances in Å follow each position.
Fractional positions:
Y 0.0000 0.7951 0.2049  4 Er 3.23-3.35, 2 Sc 3.38
Y 0.0000 0.2049 0.7951  4 Er 3.23-3.35, 2 Sc 3.38
Er 0.6836 0.0657 0.5845  2 Sc 3.21-3.41, 5 Er 3.22-3.57, 2 Y 3.23-3.35
Er 0.3164 0.4155 0.9343  2 Sc 3.21-3.41, 5 Er 3.22-3.57, 2 Y 3.23-3.35
Er 0.3164 0.9343 0.4155  2 Sc 3.21-3.41, 5 Er 3.22-3.57, 2 Y 3.23-3.35
Er 0.6836 0.5845 0.0657  2 Sc 3.21-3.41, 5 Er 3.22-3.57, 2 Y 3.23-3.35
Er 0.5000 0.0000 0.0000  4 Er 3.22, 2 Sc 3.34
Er 0.3087 0.4087 0.4087  6 Er 3.41-3.70, 3 Sc 3.43-3.53, 2 Y 3.71
Er 0.6913 0.5913 0.5913  6 Er 3.41-3.70, 3 Sc 3.43-3.53, 2 Y 3.71
Sc 0.0673 0.7603 0.7603  8 Er 3.21-3.53, 2 Y 3.38
Sc 0.9327 0.2397 0.2397  8 Er 3.21-3.53, 2 Y 3.38

Results
spin magnetization	0.00	μB per formula unit


Which structure loses on stability? Q does.


P:
Here is an optimized crystal structure of Y2Er4Sc5 from Alexandria. Energies are from PBE-GGA.

Cell: 3.3494 8.3888 13.7984 Å, 124.34 96.97 90.00°
Closest atoms and distances in Å follow each position.
Fractional positions:
Y 0.7281 0.6348 0.4562  6 Sc 3.24-3.41, 1 Er 3.30, 4 Y 3.35-3.53
Y 0.2719 0.3652 0.5438  6 Sc 3.24-3.41, 1 Er 3.30, 4 Y 3.35-3.53
Er 0.5872 0.4791 0.1744  1 Y 3.30, 5 Sc 3.31-3.41, 6 Er 3.35-3.52
Er 0.0451 0.7521 0.0902  4 Sc 3.24-3.40, 7 Er 3.35-3.52
Er 0.4128 0.5209 0.8256  1 Y 3.30, 5 Sc 3.31-3.41, 6 Er 3.35-3.52
Er 0.9549 0.2479 0.9098  4 Sc 3.24-3.40, 7 Er 3.35-3.52
Sc 0.1872 0.8957 0.3743  3 Y 3.24-3.41, 4 Sc 3.30-3.35, 3 Er 3.36-3.41
Sc 0.8128 0.1043 0.6257  3 Y 3.24-3.41, 4 Sc 3.30-3.35, 3 Er 3.36-3.41
Sc 0.1279 0.2214 0.2558  3 Er 3.24-3.39, 4 Sc 3.34-3.35, 3 Y 3.40-3.41
Sc 0.5000 0.0000 0.0000  6 Er 3.31-3.40, 6 Sc 3.34-3.35
Sc 0.8721 0.7786 0.7442  3 Er 3.24-3.39, 4 Sc 3.34-3.35, 3 Y 3.40-3.41

Results
spin magnetization	0.00	μB per formula unit


Q:
Here is an optimized crystal structure of Y2Er4Sc5 from Alexandria. Energies are from PBE-GGA.

Cell: 3.5502 8.6447 11.9480 Å, 120.67 98.54 90.00°
Closest atoms and distances in Å follow each position.
Fractional positions:
Y 0.6169 0.7376 0.2339  5 Sc 3.28-3.39, 5 Er 3.42-3.60, 2 Y 3.55
Y 0.3831 0.2624 0.7661  5 Sc 3.28-3.39, 5 Er 3.42-3.60, 2 Y 3.55
Er 0.6748 0.4345 0.3500  5 Sc 3.33-3.54, 1 Y 3.53, 6 Er 3.55-3.60
Er 0.0287 0.3452 0.0574  3 Sc 3.23-3.41, 4 Y 3.42-3.60, 5 Er 3.55-3.60
Er 0.3252 0.5655 0.6500  5 Sc 3.33-3.54, 1 Y 3.53, 6 Er 3.55-3.60
Er 0.9713 0.6548 0.9426  3 Sc 3.23-3.41, 4 Y 3.42-3.60, 5 Er 3.55-3.60
Sc 0.1177 0.0572 0.2354  4 Sc 3.12-3.22, 2 Y 3.28, 3 Er 3.33-3.41
Sc 0.8823 0.9428 0.7646  4 Sc 3.12-3.22, 2 Y 3.28, 3 Er 3.33-3.41
Sc 0.2539 0.8391 0.5079  6 Sc 3.22-3.55, 3 Y 3.34-3.39, 3 Er 3.48-3.54
Sc 0.5000 0.0000 0.0000  4 Sc 3.12, 4 Er 3.23
Sc 0.7461 0.1609 0.4921  6 Sc 3.22-3.55, 3 Y 3.34-3.39, 3 Er 3.48-3.54

Results
spin magnetization	0.00	μB per formula unit


Which structure loses on stability? P does.


P:
Here is an optimized crystal structure of Y2ErSc5 from Alexandria. Energies are from PBE-GGA.

Cell: 6.5657 6.5657 6.5654 Å, 108.91 108.91 110.60°
Closest atoms and distances in Å follow each position.
Fractional positions:
Y 0.2776 0.7780 0.5000  8 Sc 3.28
Y 0.7777 0.2780 0.5000  8 Sc 3.28
Er 0.7786 0.7783 0.0000  8 Sc 3.28
Sc 0.2780 0.2783 0.5005  2 Sc 3.28, 4 Y 3.28, 2 Er 3.28
Sc 0.2783 0.7774 0.0000  4 Y 3.28, 2 Sc 3.28, 2 Er 3.28
Sc 0.7778 0.2780 0.0000  4 Y 3.28, 2 Sc 3.28, 2 Er 3.28
Sc 0.7775 0.7778 0.4995  2 Sc 3.28, 4 Y 3.28, 2 Er 3.28
Sc 0.2776 0.2772 0.0000  8 Sc 3.28

Results
spin magnetization	0.00	μB per formula unit


Q:
Here is an optimized crystal structure of Y2ErSc5 from Alexandria. Energies are from PBE-GGA.

Cell: 6.7216 6.7216 6.7216 Å, 91.01 119.42 119.42°
Closest atoms and distances in Å follow each position.
Fractional positions:
Y 0.5000 0.2778 0.7778  10 Sc 3.36-3.39, 2 Er 3.39
Y 0.5000 0.7778 0.2778  10 Sc 3.36-3.39, 2 Er 3.39
Er 0.0000 0.7778 0.7778  8 Sc 3.36, 4 Y 3.39
Sc 0.4998 0.7777 0.7777  6 Sc 3.36-3.39, 2 Er 3.36, 4 Y 3.36
Sc 0.0000 0.7777 0.2779  6 Sc 3.36-3.39, 2 Er 3.36, 4 Y 3.36
Sc 0.0000 0.2779 0.7777  6 Sc 3.36-3.39, 2 Er 3.36, 4 Y 3.36
Sc 0.5002 0.2779 0.2779  6 Sc 3.36-3.39, 2 Er 3.36, 4 Y 3.36
Sc 0.0000 0.2776 0.2776  8 Sc 3.36, 4 Y 3.39

Results
spin magnetization	0.00	μB per formula unit


Which structure loses on stability? P does.